Record 1
# PBE-GGA Nd3Ho2Co2, relaxed
# energy relative to the elements = -0.090 eV per atom
data_Nd3Ho2Co2
_cell_length_a 12.099
_cell_length_b 3.775
_cell_length_c 8.912
_cell_angle_alpha 90.00
_cell_angle_beta 115.14
_cell_angle_gamma 90.00
_symmetry_space_group_name_H-M 'C 1 2/m 1'
_symmetry_Int_Tables_number 12
loop_
_symmetry_equiv_pos_as_xyz
'x,y,z'
'-x,-y,-z'
'-x,y,-z'
'x,-y,z'
'x+1/2,y+1/2,z'
'-x+1/2,-y+1/2,-z'
'-x+1/2,y+1/2,-z'
'x+1/2,-y+1/2,z'
loop_
_atom_site_label
_atom_site_fract_x
_atom_site_fract_y
_atom_site_fract_z
Nd1 0.000 0.000 0.000
Nd2 0.115 0.000 0.425
Ho1 0.176 0.500 0.810
Co1 0.185 0.500 0.243

Record 2
# PBE-GGA Pm2Ir3Rh, relaxed
# energy relative to the elements = -0.716 eV per atom
data_Pm2Ir3Rh
_cell_length_a 5.4083
_cell_length_b 5.4083
_cell_length_c 13.3192
_cell_angle_alpha 90.00
_cell_angle_beta 90.00
_cell_angle_gamma 120.00
_symmetry_space_group_name_H-M 'R -3 m'
_symmetry_Int_Tables_number 166
_symmetry_space_group_name_Hall '-R 3 2"'
loop_
_atom_site_label
_atom_site_fract_x
_atom_site_fract_y
_atom_site_fract_z
Pm1 0.0000 0.0000 0.1243
Ir1 0.0000 0.5000 0.0000
Rh1 0.0000 0.0000 0.5000

Record 3
# PBE-GGA LaHo3Th4, relaxed
# energy relative to the elements = 0.291 eV per atom
data_LaHo3Th4
_cell_length_a 19.059
_cell_length_b 3.476
_cell_length_c 8.822
_cell_angle_alpha 90.00
_cell_angle_beta 111.01
_cell_angle_gamma 90.00
_symmetry_space_group_name_H-M 'C 1 2/m 1'
_symmetry_Int_Tables_number 12
loop_
_symmetry_equiv_pos_as_xyz
'x,y,z'
'-x,-y,-z'
'-x,y,-z'
'x,-y,z'
'x+1/2,y+1/2,z'
'-x+1/2,-y+1/2,-z'
'-x+1/2,y+1/2,-z'
'x+1/2,-y+1/2,z'
loop_
_atom_site_label
_atom_site_fract_x
_atom_site_fract_y
_atom_site_fract_z
La1 0.000 0.000 0.000
Ho1 0.000 0.500 0.500
Ho2 0.199 0.500 0.152
Th1 0.120 0.000 0.805
Th2 0.163 0.000 0.467

Record 4
# PBE-GGA Ce2Al7Au12, relaxed
# energy relative to the elements = -0.488 eV per atom
data_Ce2Al7Au12
_cell_length_a 10.4438
_cell_length_b 10.4438
_cell_length_c 4.2743
_cell_angle_alpha 90.00
_cell_angle_beta 90.00
_cell_angle_gamma 120.00
_symmetry_space_group_name_H-M 'P -3'
_symmetry_Int_Tables_number 147
loop_
_symmetry_equiv_pos_as_xyz
'x,y,z'
'-x,-y,-z'
'-y,x-y,z'
'y,-x+y,-z'
'-x+y,-x,z'
'x-y,x,-z'
loop_
_atom_site_label
_atom_site_fract_x
_atom_site_fract_y
_atom_site_fract_z
Ce1 0.3333 0.6667 0.2433
Al1 0.0000 0.0000 0.5000
Al2 0.1023 0.3958 0.7358
Au1 0.0775 0.6248 0.7541
Au2 0.1314 0.2621 0.2324

Record 5
# PBE-GGA MnTcMo2, relaxed
# energy relative to the elements = 0.093 eV per atom
# energy relative to the lowest polymorph listed for this composition = 30 meV per atom
data_MnTcMo2
_cell_length_a 3.140
_cell_length_b 4.368
_cell_length_c 8.617
_cell_angle_alpha 90.00
_cell_angle_beta 90.00
_cell_angle_gamma 90.00
_symmetry_space_group_name_H-M 'I m m 2'
_symmetry_Int_Tables_number 44
loop_
_symmetry_equiv_pos_as_xyz
'x,y,z'
'-x,-y,z'
'-x,y,z'
'x,-y,z'
'x+1/2,y+1/2,z+1/2'
'-x+1/2,-y+1/2,z+1/2'
'-x+1/2,y+1/2,z+1/2'
'x+1/2,-y+1/2,z+1/2'
loop_
_atom_site_label
_atom_site_fract_x
_atom_site_fract_y
_atom_site_fract_z
Mn1 0.000 0.000 0.000
Tc1 0.000 0.500 0.244
Mo1 0.000 0.000 0.497
Mo2 0.000 0.500 0.751

Record 6
# PBE-GGA ZnIrN2F, relaxed
# raw formation energy = 1450 meV/atom
# energy relative to the lowest polymorph listed for this composition = 918 meV per atom
data_ZnIrN2F
_cell_length_a 3.930
_cell_length_b 3.930
_cell_length_c 3.701
_cell_angle_alpha 90.00
_cell_angle_beta 90.00
_cell_angle_gamma 90.00
_symmetry_space_group_name_H-M 'P 4/m m m'
_symmetry_Int_Tables_number 123
_symmetry_space_group_name_Hall '-P 4 2'
loop_
_atom_site_label
_atom_site_fract_x
_atom_site_fract_y
_atom_site_fract_z
Zn1 0.000 0.000 0.000
Ir1 0.500 0.500 0.500
N1 0.000 0.500 0.000
F1 0.000 0.000 0.500

no.,magnetization (μB/f.u.)
1,0.00
2,0.00
3,0.00
4,1.73
5,2.20
6,0.84